1.
# TlInAu2

A crystal of TlInAu2 relaxed with PBEsol (SCAN, Alexandria).

abc: 3.114 3.596 7.495
angles: 90.00 95.09 90.00
Element x y z (fractional)
Au: 0.028 0.000 0.224
Au: 0.972 0.000 0.776
In: 0.500 0.500 0.000
Tl: 0.500 0.500 0.500

Properties
DFT formation energy: -0.045 eV per atom
Calculated density: 14164 kg/m³
Symmetry: P2/m


2.
# Tl2InAu2

A crystal of Tl2InAu2 relaxed with PBEsol (SCAN, Alexandria).

abc: 3.812 3.812 8.812
angles: 102.49 102.49 90.00
Element x y z (fractional)
Au: 0.750 0.250 0.500
Tl: 0.611 0.611 0.222
Au: 0.250 0.750 0.500
Tl: 0.389 0.389 0.778
In: 0.000 0.000 0.000

Properties
Distance to the lowest polymorph of the same formula: 90 meV per atom
DFT formation energy: 0.042 eV per atom
Calculated density: 12496 kg/m³
Symmetry: I4/mmm


3.
# Tl2InAu2

A crystal of Tl2InAu2 relaxed with PBEsol (SCAN, Alexandria).

abc: 4.296 7.362 7.362
angles: 90.00 90.00 90.00
Element x y z (fractional)
Au: 0.000 0.137 0.363
Tl: 0.500 0.666 0.834
In: 0.000 0.500 0.500
Au: 0.000 0.863 0.637
Tl: 0.500 0.834 0.334
Tl: 0.500 0.334 0.166
Au: 0.000 0.637 0.137
In: 0.000 0.000 0.000
Tl: 0.500 0.166 0.666
Au: 0.000 0.363 0.863

Properties
Distance to the lowest polymorph of the same formula: 0 meV per atom
DFT formation energy: -0.048 eV per atom
Calculated density: 13085 kg/m³
Symmetry: P4/mbm


4.
# TlInAu2

A crystal of TlInAu2 relaxed with PBEsol (SCAN, Alexandria).

abc: 4.275 4.275 5.404
angles: 113.30 113.30 90.00
Element x y z (fractional)
In: 0.500 0.500 0.000
Tl: 0.250 0.750 0.500
Au: 0.750 0.250 0.500
Au: 0.000 0.000 0.000

Properties
DFT formation energy: 0.051 eV per atom
Calculated density: 14466 kg/m³
Symmetry: I-4m2


5.
# TmInAu2

A crystal of TmInAu2 relaxed with PBEsol (SCAN, Alexandria).

abc: 4.818 4.818 4.818
angles: 60.00 60.00 60.00
Element x y z (fractional)
Tm: 0.500 0.500 0.500
Au: 0.750 0.750 0.750
Au: 0.250 0.250 0.250
In: 0.000 0.000 0.000

Properties
DFT formation energy: -0.856 eV per atom
Calculated density: 14226 kg/m³
Symmetry: Fm-3m


6.
# In2WAu

A crystal of In2WAu relaxed with PBEsol (SCAN, Alexandria).

abc: 3.009 3.009 9.569
angles: 80.95 80.95 60.00
Element x y z (fractional)
W: 0.500 0.500 0.500
In: 0.250 0.250 0.251
Au: 0.000 0.000 0.000
In: 0.750 0.750 0.749

Properties
Distance to the lowest polymorph of the same formula: 0 meV per atom
DFT formation energy: 0.386 eV per atom
Calculated density: 13738 kg/m³
Symmetry: R-3m


7.
# In2WAu

A crystal of In2WAu relaxed with PBEsol (SCAN, Alexandria).

abc: 3.013 5.167 5.633
angles: 117.30 105.51 90.00
Element x y z (fractional)
Au: 0.000 0.500 0.000
W: 0.500 0.000 0.000
In: 0.254 0.254 0.509
In: 0.746 0.746 0.491

Properties
Distance to the lowest polymorph of the same formula: 159 meV per atom
DFT formation energy: 0.546 eV per atom
Calculated density: 13641 kg/m³
Symmetry: Immm


8.
# In2WAu

A crystal of In2WAu relaxed with PBEsol (SCAN, Alexandria).

abc: 3.440 3.440 6.211
angles: 90.00 90.00 90.00
Element x y z (fractional)
In: 0.000 0.000 0.759
W: 0.500 0.500 0.000
Au: 0.500 0.500 0.500
In: 0.000 0.000 0.241

Properties
Distance to the lowest polymorph of the same formula: 113 meV per atom
DFT formation energy: 0.499 eV per atom
Calculated density: 13789 kg/m³
Symmetry: P4/mmm


Copy entry 4 word for word.
# TlInAu2

A crystal of TlInAu2 relaxed with PBEsol (SCAN, Alexandria).

abc: 4.275 4.275 5.404
angles: 113.30 113.30 90.00
Element x y z (fractional)
In: 0.500 0.500 0.000
Tl: 0.250 0.750 0.500
Au: 0.750 0.250 0.500
Au: 0.000 0.000 0.000

Properties
DFT formation energy: 0.051 eV per atom
Calculated density: 14466 kg/m³
Symmetry: I-4m2